[1]
Compound: KCo2C
Source: Alexandria
Functional: meta-GGA SCAN
Structure: single point on PBEsol structure

Crystal system   cubic
Formation enthalpy at 0 K   0.70 eV per atom
E   -0.9232 Ry/atom
Space group   Fd-3m (227)

Unit cell a=5.7673 b=5.7673 c=5.7673 alpha=60.00 beta=60.00 gamma=60.00
Last column: nearest neighbours and their distance in Å.
Element x y z (fractional)
K (0.1250, 0.1250, 0.1250)  12 Co 3.38, 4 K 3.53, 4 C 3.53
K (0.8750, 0.8750, 0.8750)  12 Co 3.38, 4 K 3.53, 4 C 3.53
Co (0.0000, 0.5000, 0.5000)  2 C 1.77
Co (0.5000, 0.0000, 0.5000)  2 C 1.77
Co (0.5000, 0.5000, 0.0000)  2 C 1.77
Co (0.5000, 0.5000, 0.5000)  2 C 1.77
C (0.3750, 0.3750, 0.3750)  4 Co 1.77
C (0.6250, 0.6250, 0.6250)  4 Co 1.77

***

[2]
Compound: K3CoC6N6
Source: Alexandria
Functional: meta-GGA SCAN
Structure: single point on PBEsol structure

Formation energy from raw total energies   -239 meV per atom
Crystal system   monoclinic
E   -0.7463 Ry/atom
Space group   P2_1/c (14)

Unit cell a=7.0232 b=10.2713 c=8.2853 alpha=90.00 beta=107.46 gamma=90.00
Last column: nearest neighbours and their distance in Å.
Element x y z (fractional)
K (0.0000, 0.0000, 0.0000)  6 N 2.78-2.94
K (0.0000, 0.5000, 0.5000)  6 N 2.78-2.94
K (0.4977, 0.2219, 0.8752)  4 N 2.82-2.93
K (0.4977, 0.2781, 0.3752)  4 N 2.82-2.93
K (0.5023, 0.7219, 0.6248)  4 N 2.82-2.93
K (0.5023, 0.7781, 0.1248)  4 N 2.82-2.93
Co (0.0000, 0.0000, 0.5000)  6 C 1.85
Co (0.0000, 0.5000, 0.0000)  6 C 1.85
C (0.1199, 0.1618, 0.5257)  1 N 1.18
C (0.1199, 0.3382, 0.0257)  1 N 1.18
C (0.1769, 0.5574, 0.8883)  1 N 1.18
C (0.1769, 0.9426, 0.3883)  1 N 1.18
C (0.1801, 0.5496, 0.2037)  1 N 1.18
C (0.1801, 0.9504, 0.7037)  1 N 1.18
C (0.8199, 0.0496, 0.2963)  1 N 1.18
C (0.8199, 0.4504, 0.7963)  1 N 1.18
C (0.8231, 0.0574, 0.6117)  1 N 1.18
C (0.8231, 0.4426, 0.1117)  1 N 1.18
C (0.8801, 0.6618, 0.9743)  1 N 1.18
C (0.8801, 0.8382, 0.4743)  1 N 1.18
N (0.2013, 0.2368, 0.0455)  1 C 1.18
N (0.2013, 0.2632, 0.5455)  1 C 1.18
N (0.2873, 0.5936, 0.8157)  1 C 1.18
N (0.2873, 0.9064, 0.3157)  1 C 1.18
N (0.2934, 0.5790, 0.3345)  1 C 1.18
N (0.2934, 0.9210, 0.8345)  1 C 1.18
N (0.7066, 0.0790, 0.1655)  1 C 1.18
N (0.7066, 0.4210, 0.6655)  1 C 1.18
N (0.7127, 0.0936, 0.6843)  1 C 1.18
N (0.7127, 0.4064, 0.1843)  1 C 1.18
N (0.7987, 0.7368, 0.4545)  1 C 1.18
N (0.7987, 0.7632, 0.9545)  1 C 1.18

***

[3]
Compound: KCoPCO7
Source: Alexandria
Functional: meta-GGA SCAN
Structure: single point on PBEsol structure

Formation energy from raw total energies   -1796 meV per atom
Crystal system   monoclinic
E   -0.7317 Ry/atom
Space group   P2_1 (4)

Unit cell a=5.0124 b=5.9724 c=10.3645 alpha=90.00 beta=93.17 gamma=90.00
Last column: nearest neighbours and their distance in Å.
Element x y z (fractional)
K (0.2485, 0.0000, 0.2153)  3 O 2.57-2.85
K (0.7515, 0.5000, 0.7847)  3 O 2.57-2.85
Co (0.2858, 0.0834, 0.6413)  6 O 1.82-1.89
Co (0.7142, 0.5834, 0.3587)  6 O 1.82-1.89
P (0.2210, 0.5858, 0.5546)  4 O 1.51-1.56
P (0.7790, 0.0858, 0.4454)  4 O 1.51-1.56
C (0.2080, 0.0867, 0.8595)  3 O 1.23-1.33
C (0.7920, 0.5867, 0.1405)  3 O 1.23-1.33
O (0.0229, 0.0836, 0.7623)  1 C 1.33
O (0.0828, 0.0838, 0.4818)  1 P 1.55
O (0.1633, 0.0917, 0.9746)  1 C 1.23
O (0.2847, 0.3898, 0.6510)  1 P 1.56
O (0.2900, 0.7794, 0.6516)  1 P 1.56
O (0.3832, 0.5886, 0.4356)  1 P 1.51
O (0.4452, 0.0871, 0.8097)  1 C 1.32
O (0.5548, 0.5871, 0.1903)  1 C 1.32
O (0.6168, 0.0886, 0.5644)  1 P 1.51
O (0.7100, 0.2794, 0.3484)  1 P 1.56
O (0.7153, 0.8898, 0.3490)  1 P 1.56
O (0.8367, 0.5917, 0.0254)  1 C 1.23
O (0.9172, 0.5838, 0.5182)  1 P 1.55
O (0.9771, 0.5836, 0.2377)  1 C 1.33

***

[4]
Compound: K2CoPCO7
Source: Alexandria
Functional: meta-GGA SCAN
Structure: single point on PBEsol structure

Formation energy from raw total energies   -1942 meV per atom
Crystal system   monoclinic
E   -0.7434 Ry/atom
Space group   P2_1/m (11)

Unit cell a=5.5161 b=6.7666 c=9.5284 alpha=90.00 beta=91.06 gamma=90.00
Last column: nearest neighbours and their distance in Å.
Element x y z (fractional)
K (0.2505, 0.0217, 0.2408)  5 O 2.52-2.80
K (0.2505, 0.4783, 0.2408)  5 O 2.52-2.80
K (0.7495, 0.5217, 0.7592)  5 O 2.52-2.80
K (0.7495, 0.9783, 0.7592)  5 O 2.52-2.80
Co (0.2781, 0.2500, 0.6347)  4 O 1.89-2.08
Co (0.7219, 0.7500, 0.3653)  4 O 1.89-2.08
P (0.2317, 0.7500, 0.5650)  4 O 1.54-1.57
P (0.7683, 0.2500, 0.4350)  4 O 1.54-1.57
C (0.2370, 0.2500, 0.8945)  3 O 1.25-1.31
C (0.7630, 0.7500, 0.1055)  3 O 1.25-1.31
O (0.0382, 0.2500, 0.4908)  1 P 1.57
O (0.0549, 0.2500, 0.8038)  1 C 1.31
O (0.2121, 0.2500, 0.0244)  1 C 1.25
O (0.2749, 0.5624, 0.6533)  1 P 1.54
O (0.2749, 0.9376, 0.6533)  1 P 1.54
O (0.3987, 0.7500, 0.4352)  1 P 1.56
O (0.4455, 0.2500, 0.8317)  1 C 1.31
O (0.5545, 0.7500, 0.1683)  1 C 1.31
O (0.6013, 0.2500, 0.5648)  1 P 1.56
O (0.7251, 0.0624, 0.3467)  1 P 1.54
O (0.7251, 0.4376, 0.3467)  1 P 1.54
O (0.7879, 0.7500, 0.9756)  1 C 1.25
O (0.9451, 0.7500, 0.1962)  1 C 1.31
O (0.9618, 0.7500, 0.5092)  1 P 1.57

***

[5]
Compound: LaCoC2
Source: Alexandria
Functional: meta-GGA SCAN
Structure: single point on PBEsol structure

Crystal system   cubic
Formation enthalpy at 0 K   1.16 eV per atom
E   -1.3957 Ry/atom
Space group   Fm-3m (225)

Unit cell a=5.8103 b=5.8103 c=5.8103 alpha=90.00 beta=90.00 gamma=90.00
Last column: nearest neighbours and their distance in Å.
Element x y z (fractional)
La (0.0000, 0.0000, 0.0000)  8 C 2.52
La (0.0000, 0.5000, 0.5000)  8 C 2.52
La (0.5000, 0.0000, 0.5000)  8 C 2.52
La (0.5000, 0.5000, 0.0000)  8 C 2.52
Co (0.0000, 0.0000, 0.5000)  8 C 2.52
Co (0.0000, 0.5000, 0.0000)  8 C 2.52
Co (0.5000, 0.0000, 0.0000)  8 C 2.52
Co (0.5000, 0.5000, 0.5000)  8 C 2.52
C (0.2500, 0.2500, 0.2500)  4 La 2.52, 4 Co 2.52
C (0.2500, 0.2500, 0.7500)  4 La 2.52, 4 Co 2.52
C (0.2500, 0.7500, 0.2500)  4 La 2.52, 4 Co 2.52
C (0.2500, 0.7500, 0.7500)  4 La 2.52, 4 Co 2.52
C (0.7500, 0.2500, 0.2500)  4 La 2.52, 4 Co 2.52
C (0.7500, 0.2500, 0.7500)  4 La 2.52, 4 Co 2.52
C (0.7500, 0.7500, 0.2500)  4 La 2.52, 4 Co 2.52
C (0.7500, 0.7500, 0.7500)  4 La 2.52, 4 Co 2.52

***

[6]
Compound: LaCoC2
Source: Alexandria
Functional: meta-GGA SCAN
Structure: single point on PBEsol structure

Crystal system   monoclinic
Formation enthalpy at 0 K   -0.29 eV per atom
E   -1.5028 Ry/atom
Space group   Cc (9)

Unit cell a=5.4042 b=5.4020 c=7.3486 alpha=90.00 beta=101.98 gamma=90.00
Last column: nearest neighbours and their distance in Å.
Element x y z (fractional)
La (0.0000, 0.0734, 0.0000)  8 C 2.72-2.78, 4 Co 3.02-3.03
La (0.0000, 0.9266, 0.5000)  8 C 2.72-2.78, 4 Co 3.02-3.03
La (0.5000, 0.4266, 0.5000)  8 C 2.72-2.78, 4 Co 3.02-3.03
La (0.5000, 0.5734, 0.0000)  8 C 2.72-2.78, 4 Co 3.02-3.03
Co (0.4419, 0.0715, 0.8065)  4 C 1.93-2.00
Co (0.4419, 0.9285, 0.3065)  4 C 1.93-2.00
Co (0.9419, 0.4285, 0.3065)  4 C 1.93-2.00
Co (0.9419, 0.5715, 0.8065)  4 C 1.93-2.00
C (0.0170, 0.4243, 0.5748)  1 C 1.37
C (0.0170, 0.5757, 0.0748)  1 C 1.37
C (0.1707, 0.3202, 0.7281)  1 C 1.37
C (0.1707, 0.6798, 0.2281)  1 C 1.37
C (0.5170, 0.0757, 0.0748)  1 C 1.37
C (0.5170, 0.9243, 0.5748)  1 C 1.37
C (0.6707, 0.1798, 0.2281)  1 C 1.37
C (0.6707, 0.8202, 0.7281)  1 C 1.37

***

[7]
Compound: Li6MnCoP2C2O14
Source: Alexandria
Functional: meta-GGA SCAN
Structure: single point on PBEsol structure

Formation energy from raw total energies   -2182 meV per atom
Crystal system   monoclinic
E   -0.6639 Ry/atom
Space group   Pm (6)

Unit cell a=4.9195 b=6.3447 c=8.4502 alpha=90.00 beta=96.11 gamma=90.00
Last column: nearest neighbours and their distance in Å.
Element x y z (fractional)
Li (0.0000, 0.0000, 0.0000)  2 O 1.87-1.96
Li (0.0659, 0.2678, 0.6243)  5 O 2.11-2.17
Li (0.0659, 0.7322, 0.6243)  5 O 2.11-2.17
Li (0.5302, 0.2401, 0.1658)  5 O 2.11-2.18
Li (0.5302, 0.7599, 0.1658)  5 O 2.11-2.18
Li (0.5941, 0.5000, 0.7913)  4 O 1.88-2.10
Mn (0.5772, 0.0000, 0.5554)  5 O 2.02-2.20
Co (0.0089, 0.5000, 0.2264)  5 O 2.00-2.15
P (0.0648, 0.0000, 0.3036)  4 O 1.54-1.56
P (0.5293, 0.5000, 0.4846)  4 O 1.53-1.56
C (0.1211, 0.5000, 0.9370)  3 O 1.28-1.31
C (0.4703, 0.0000, 0.8582)  3 O 1.28-1.31
O (0.1947, 0.5000, 0.7946)  1 C 1.29
O (0.2114, 0.5000, 0.4651)  1 P 1.55
O (0.2846, 0.0000, 0.7354)  1 C 1.31
O (0.3038, 0.5000, 0.0611)  1 C 1.31
O (0.3836, 0.0000, 0.3213)  1 P 1.56
O (0.3984, 0.0000, 0.0009)  1 C 1.29
O (0.6342, 0.5000, 0.3207)  1 P 1.53
O (0.6393, 0.3119, 0.5915)  1 P 1.56
O (0.6393, 0.6881, 0.5915)  1 P 1.56
O (0.7223, 0.0000, 0.8313)  1 C 1.28
O (0.8688, 0.5000, 0.9638)  1 C 1.28
O (0.9555, 0.1897, 0.1996)  1 P 1.55
O (0.9555, 0.8103, 0.1996)  1 P 1.55
O (0.9709, 0.0000, 0.4713)  1 P 1.54

***

[8]
Compound: NaLi2CoPCO7
Source: Alexandria
Functional: meta-GGA SCAN
Structure: single point on PBEsol structure

Formation energy from raw total energies   -2099 meV per atom
Crystal system   monoclinic
E   -0.6654 Ry/atom
Space group   P2_1 (4)

Unit cell a=4.9984 b=6.4438 c=8.4352 alpha=90.00 beta=95.43 gamma=90.00
Last column: nearest neighbours and their distance in Å.
Element x y z (fractional)
Na (0.2302, 0.0000, 0.2681)  5 O 2.30-2.41
Na (0.7698, 0.5000, 0.7319)  5 O 2.30-2.41
Li (0.2319, 0.4765, 0.2772)  5 O 2.08-2.14
Li (0.2909, 0.7497, 0.8971)  4 O 1.91-2.13
Li (0.7091, 0.2497, 0.1029)  4 O 1.91-2.13
Li (0.7681, 0.9765, 0.7228)  5 O 2.08-2.14
Co (0.2887, 0.2308, 0.6667)  6 O 2.04-2.27
Co (0.7113, 0.7308, 0.3333)  6 O 2.04-2.27
P (0.2283, 0.7359, 0.5896)  4 O 1.53-1.56
P (0.7717, 0.2359, 0.4104)  4 O 1.53-1.56
C (0.1833, 0.2403, 0.9545)  3 O 1.29-1.31
C (0.8167, 0.7403, 0.0455)  3 O 1.29-1.31
O (0.0094, 0.2127, 0.8307)  1 C 1.31
O (0.0810, 0.2637, 0.4414)  1 P 1.55
O (0.1023, 0.2648, 0.0935)  1 C 1.29
O (0.2924, 0.5438, 0.6992)  1 P 1.56
O (0.3480, 0.9184, 0.6950)  1 P 1.56
O (0.3517, 0.7202, 0.4303)  1 P 1.53
O (0.4340, 0.2427, 0.9292)  1 C 1.29
O (0.5660, 0.7427, 0.0708)  1 C 1.29
O (0.6483, 0.2202, 0.5697)  1 P 1.53
O (0.6520, 0.4184, 0.3050)  1 P 1.56
O (0.7076, 0.0438, 0.3008)  1 P 1.56
O (0.8977, 0.7648, 0.9065)  1 C 1.29
O (0.9190, 0.7637, 0.5586)  1 P 1.55
O (0.9906, 0.7127, 0.1693)  1 C 1.31

***

[9]
Compound: Na5LiCo2P2C2O14
Source: Alexandria
Functional: meta-GGA SCAN
Structure: single point on PBEsol structure

Formation energy from raw total energies   -2066 meV per atom
Crystal system   monoclinic
E   -0.6785 Ry/atom
Space group   Pm (6)

Unit cell a=5.1061 b=6.5691 c=8.7707 alpha=90.00 beta=92.57 gamma=90.00
Last column: nearest neighbours and their distance in Å.
Element x y z (fractional)
Na (0.0000, 0.0000, 0.0000)  4 O 2.24-2.39
Na (0.4908, 0.2451, 0.8131)  5 O 2.28-2.43
Na (0.4908, 0.7549, 0.8131)  5 O 2.28-2.43
Na (0.9708, 0.2572, 0.3511)  5 O 2.29-2.43
Na (0.9708, 0.7428, 0.3511)  5 O 2.29-2.43
Li (0.4544, 0.5000, 0.1902)  4 O 1.98-2.15
Co (0.0138, 0.5000, 0.7391)  5 O 2.02-2.06
Co (0.4532, 0.0000, 0.4255)  6 O 2.04-2.18
P (0.5138, 0.5000, 0.4946)  4 O 1.54-1.56
P (0.9497, 0.0000, 0.6672)  4 O 1.53-1.56
C (0.5112, 0.0000, 0.1426)  3 O 1.28-1.30
C (0.9325, 0.5000, 0.0344)  3 O 1.29-1.31
O (0.0238, 0.1888, 0.7681)  1 P 1.56
O (0.0238, 0.8112, 0.7681)  1 P 1.56
O (0.0912, 0.0000, 0.5165)  1 P 1.53
O (0.1819, 0.5000, 0.0135)  1 C 1.29
O (0.2836, 0.0000, 0.2027)  1 C 1.30
O (0.3687, 0.5000, 0.6449)  1 P 1.54
O (0.4393, 0.3138, 0.3911)  1 P 1.56
O (0.4393, 0.6862, 0.3911)  1 P 1.56
O (0.5333, 0.0000, 0.9974)  1 C 1.28
O (0.6475, 0.0000, 0.6333)  1 P 1.56
O (0.7159, 0.0000, 0.2358)  1 C 1.30
O (0.7694, 0.5000, 0.9153)  1 C 1.31
O (0.8138, 0.5000, 0.5305)  1 P 1.55
O (0.8397, 0.5000, 0.1687)  1 C 1.29

***

[10]
Compound: Li2CoC2O6
Source: Alexandria
Functional: meta-GGA SCAN
Structure: single point on PBEsol structure

Formation energy from raw total energies   -1716 meV per atom
Crystal system   orthorhombic
E   -0.6584 Ry/atom
Space group   Fdd2 (43)

Unit cell a=8.5751 b=6.0386 c=9.8031 alpha=60.09 beta=37.62 gamma=82.29
Last column: nearest neighbours and their distance in Å.
Element x y z (fractional)
Li (0.3135, 0.6865, 0.3513)  4 O 1.94-2.05
Li (0.6013, 0.8987, 0.5635)  4 O 1.94-2.05
Li (0.6865, 0.3135, 0.6487)  4 O 1.94-2.05
Li (0.8987, 0.6013, 0.9365)  4 O 1.94-2.05
Co (0.2281, 0.2281, 0.2719)  4 O 2.00-2.02
Co (0.9781, 0.9781, 0.0219)  4 O 2.00-2.02
C (0.0864, 0.4966, 0.1139)  3 O 1.29-1.30
C (0.1361, 0.9469, 0.1636)  3 O 1.29-1.30
C (0.4966, 0.0864, 0.3031)  3 O 1.29-1.30
C (0.9469, 0.1361, 0.7534)  3 O 1.29-1.30
O (0.0567, 0.6642, 0.9944)  1 C 1.30
O (0.1468, 0.2798, 0.6615)  1 C 1.29
O (0.2406, 0.8768, 0.5112)  1 C 1.29
O (0.2556, 0.9652, 0.1933)  1 C 1.30
O (0.2798, 0.1468, 0.9119)  1 C 1.29
O (0.3381, 0.5885, 0.9702)  1 C 1.29
O (0.5885, 0.3381, 0.1032)  1 C 1.29
O (0.6642, 0.0567, 0.2848)  1 C 1.30
O (0.7388, 0.8786, 0.0094)  1 C 1.29
O (0.8768, 0.2406, 0.3714)  1 C 1.29
O (0.8786, 0.7388, 0.3732)  1 C 1.29
O (0.9652, 0.2556, 0.5858)  1 C 1.30

***

[11]
Compound: Li2CoC2O6
Source: Alexandria
Functional: meta-GGA SCAN
Structure: single point on PBEsol structure

Formation energy from raw total energies   -1677 meV per atom
Crystal system   triclinic
E   -0.6556 Ry/atom
Space group   P1 (1)

Unit cell a=5.0103 b=6.0621 c=7.7631 alpha=87.20 beta=86.78 gamma=71.49
Last column: nearest neighbours and their distance in Å.
Element x y z (fractional)
Li (0.0000, 0.0000, 0.0000)  3 O 1.87-2.04
Li (0.1364, 0.2283, 0.5618)  3 O 1.93-2.09
Li (0.3556, 0.8516, 0.2719)  4 O 1.90-2.12
Li (0.5261, 0.5048, 0.8029)  4 O 1.94-2.14
Co (0.0884, 0.4834, 0.1833)  6 O 2.03-2.24
Co (0.6614, 0.0129, 0.6564)  6 O 2.01-2.20
C (0.3967, 0.1241, 0.9373)  3 O 1.29-1.30
C (0.6074, 0.4197, 0.4204)  3 O 1.28-1.32
C (0.8652, 0.9024, 0.3711)  3 O 1.29
C (0.9216, 0.6126, 0.8869)  3 O 1.29-1.30
O (0.0207, 0.9486, 0.4819)  1 C 1.29
O (0.1634, 0.6322, 0.9224)  1 C 1.30
O (0.2602, 0.0942, 0.8074)  1 C 1.30
O (0.2854, 0.1363, 0.0922)  1 C 1.29
O (0.4321, 0.5038, 0.3016)  1 C 1.28
O (0.5202, 0.3477, 0.5701)  1 C 1.32
O (0.6086, 0.9195, 0.4186)  1 C 1.29
O (0.6490, 0.1326, 0.9027)  1 C 1.29
O (0.7954, 0.5195, 0.0043)  1 C 1.29
O (0.8051, 0.6798, 0.7410)  1 C 1.29
O (0.8682, 0.4091, 0.3987)  1 C 1.29
O (0.9642, 0.8392, 0.2177)  1 C 1.29

***

[12]
Compound: Li2CoC2O6
Source: Alexandria
Functional: meta-GGA SCAN
Structure: single point on PBEsol structure

Formation energy from raw total energies   -1703 meV per atom
Crystal system   monoclinic
E   -0.6575 Ry/atom
Space group   P2_1/c (14)

Unit cell a=5.1315 b=7.1918 c=7.9672 alpha=90.00 beta=110.99 gamma=90.00
Last column: nearest neighbours and their distance in Å.
Element x y z (fractional)
Li (0.0469, 0.1569, 0.1384)  4 O 1.93-2.06
Li (0.0469, 0.3431, 0.6384)  4 O 1.93-2.06
Li (0.9531, 0.6569, 0.3616)  4 O 1.93-2.06
Li (0.9531, 0.8431, 0.8616)  4 O 1.93-2.06
Co (0.5000, 0.0000, 0.0000)  6 O 1.98-2.16
Co (0.5000, 0.5000, 0.5000)  6 O 1.98-2.16
C (0.3872, 0.6945, 0.7272)  3 O 1.28-1.30
C (0.3872, 0.8055, 0.2272)  3 O 1.28-1.30
C (0.6128, 0.1945, 0.7728)  3 O 1.28-1.30
C (0.6128, 0.3055, 0.2728)  3 O 1.28-1.30
O (0.2074, 0.5813, 0.6178)  1 C 1.30
O (0.2074, 0.9187, 0.1178)  1 C 1.30
O (0.3109, 0.7039, 0.3337)  1 C 1.28
O (0.3109, 0.7961, 0.8337)  1 C 1.28
O (0.3661, 0.1957, 0.7798)  1 C 1.29
O (0.3661, 0.3043, 0.2798)  1 C 1.29
O (0.6339, 0.6957, 0.7202)  1 C 1.29
O (0.6339, 0.8043, 0.2202)  1 C 1.29
O (0.6891, 0.2039, 0.1663)  1 C 1.28
O (0.6891, 0.2961, 0.6663)  1 C 1.28
O (0.7926, 0.0813, 0.8822)  1 C 1.30
O (0.7926, 0.4187, 0.3822)  1 C 1.30